(1)
Entry from OQMD via LeMat-Bulk: an optimized crystal structure of As2Ir2Pb (PBE).

```
data_As2Ir2Pb
_chemical_formula_sum 'As4 Ir4 Pb2'
_symmetry_space_group_name_H-M 'P 4/n m m'
_symmetry_Int_Tables_number 129
_cell_length_a 4.298
_cell_length_b 4.298
_cell_length_c 10.407
_cell_angle_alpha 90.00
_cell_angle_beta 90.00
_cell_angle_gamma 90.00
loop_
_symmetry_equiv_pos_as_xyz
'x,y,z'
'-x,-y,-z'
'-y+1/2,x,z'
'y+1/2,-x,-z'
'-x+1/2,-y+1/2,z'
'x+1/2,y+1/2,-z'
'y,-x+1/2,z'
'-y,x+1/2,-z'
'x+1/2,-y,-z'
'-x+1/2,y,z'
'-y,-x,-z'
'y,x,z'
'-x,y+1/2,-z'
'x,-y+1/2,z'
'y+1/2,x+1/2,-z'
'-y+1/2,-x+1/2,z'
loop_
_atom_site_label
_atom_site_type_symbol
_atom_site_fract_x
_atom_site_fract_y
_atom_site_fract_z
As1 As 0.250 0.250 0.131
As2 As 0.250 0.750 0.500
Ir1 Ir 0.250 0.250 0.373
Ir2 Ir 0.250 0.750 0.000
Pb1 Pb 0.250 0.250 0.754
```

raw total energy	-0.455	Ry/atom

---

(2)
Entry from OQMD via LeMat-Bulk: an optimized crystal structure of AsIrPb (PBE).

```
data_AsIrPb
_chemical_formula_sum 'As4 Ir4 Pb4'
_symmetry_space_group_name_H-M 'F -4 3 m'
_symmetry_Int_Tables_number 216
_symmetry_space_group_name_Hall 'F -4 2 3'
_cell_length_a 6.385
_cell_length_b 6.385
_cell_length_c 6.385
_cell_angle_alpha 90.00
_cell_angle_beta 90.00
_cell_angle_gamma 90.00
loop_
_atom_site_label
_atom_site_type_symbol
_atom_site_fract_x
_atom_site_fract_y
_atom_site_fract_z
As1 As 0.000 0.000 0.000
Ir1 Ir 0.250 0.250 0.250
Pb1 Pb 0.000 0.000 0.500
```

raw total energy	-0.412	Ry/atom

---

(3)
Entry from OQMD via LeMat-Bulk: an optimized crystal structure of PrSnAsIrPd (PBE).

```
data_PrSnAsIrPd
_chemical_formula_sum 'Pr2 Sn2 As2 Ir2 Pd2'
_symmetry_space_group_name_H-M 'P 4/n m m'
_symmetry_Int_Tables_number 129
_cell_length_a 4.257
_cell_length_b 4.257
_cell_length_c 11.042
_cell_angle_alpha 90.00
_cell_angle_beta 90.00
_cell_angle_gamma 90.00
loop_
_symmetry_equiv_pos_as_xyz
'x,y,z'
'-x,-y,-z'
'-y+1/2,x,z'
'y+1/2,-x,-z'
'-x+1/2,-y+1/2,z'
'x+1/2,y+1/2,-z'
'y,-x+1/2,z'
'-y,x+1/2,-z'
'x+1/2,-y,-z'
'-x+1/2,y,z'
'-y,-x,-z'
'y,x,z'
'-x,y+1/2,-z'
'x,-y+1/2,z'
'y+1/2,x+1/2,-z'
'-y+1/2,-x+1/2,z'
loop_
_atom_site_label
_atom_site_type_symbol
_atom_site_fract_x
_atom_site_fract_y
_atom_site_fract_z
Pr1 Pr 0.250 0.250 0.227
Sn1 Sn 0.250 0.750 0.500
As1 As 0.250 0.250 0.872
Ir1 Ir 0.250 0.750 0.000
Pd1 Pd 0.250 0.250 0.653
```

energy relative to the lowest polymorph listed for this composition	13	kJ/mol of formula units

---

(4)
Entry from OQMD via LeMat-Bulk: an optimized crystal structure of PrSnAsIrPd (PBE).

```
data_PrSnAsIrPd
_chemical_formula_sum 'Pr2 Sn2 As2 Ir2 Pd2'
_symmetry_space_group_name_H-M 'P 4/n m m'
_symmetry_Int_Tables_number 129
_cell_length_a 4.540
_cell_length_b 4.540
_cell_length_c 10.172
_cell_angle_alpha 90.00
_cell_angle_beta 90.00
_cell_angle_gamma 90.00
loop_
_symmetry_equiv_pos_as_xyz
'x,y,z'
'-x,-y,-z'
'-y+1/2,x,z'
'y+1/2,-x,-z'
'-x+1/2,-y+1/2,z'
'x+1/2,y+1/2,-z'
'y,-x+1/2,z'
'-y,x+1/2,-z'
'x+1/2,-y,-z'
'-x+1/2,y,z'
'-y,-x,-z'
'y,x,z'
'-x,y+1/2,-z'
'x,-y+1/2,z'
'y+1/2,x+1/2,-z'
'-y+1/2,-x+1/2,z'
loop_
_atom_site_label
_atom_site_type_symbol
_atom_site_fract_x
_atom_site_fract_y
_atom_site_fract_z
Pr1 Pr 0.250 0.250 0.228
Sn1 Sn 0.250 0.250 0.640
As1 As 0.250 0.750 0.000
Ir1 Ir 0.250 0.250 0.899
Pd1 Pd 0.250 0.750 0.500
```

energy relative to the lowest polymorph listed for this composition	0	kJ/mol of formula units

---

(5)
Entry from OQMD via LeMat-Bulk: an optimized crystal structure of PrSnAsIrPd (PBE).

```
data_PrSnAsIrPd
_chemical_formula_sum 'Pr2 Sn2 As2 Ir2 Pd2'
_symmetry_space_group_name_H-M 'P 4/n m m'
_symmetry_Int_Tables_number 129
_cell_length_a 4.507
_cell_length_b 4.507
_cell_length_c 10.317
_cell_angle_alpha 90.00
_cell_angle_beta 90.00
_cell_angle_gamma 90.00
loop_
_symmetry_equiv_pos_as_xyz
'x,y,z'
'-x,-y,-z'
'-y+1/2,x,z'
'y+1/2,-x,-z'
'-x+1/2,-y+1/2,z'
'x+1/2,y+1/2,-z'
'y,-x+1/2,z'
'-y,x+1/2,-z'
'x+1/2,-y,-z'
'-x+1/2,y,z'
'-y,-x,-z'
'y,x,z'
'-x,y+1/2,-z'
'x,-y+1/2,z'
'y+1/2,x+1/2,-z'
'-y+1/2,-x+1/2,z'
loop_
_atom_site_label
_atom_site_type_symbol
_atom_site_fract_x
_atom_site_fract_y
_atom_site_fract_z
Pr1 Pr 0.250 0.250 0.241
Sn1 Sn 0.250 0.250 0.637
As1 As 0.250 0.750 0.000
Ir1 Ir 0.250 0.750 0.500
Pd1 Pd 0.250 0.250 0.891
```

energy relative to the lowest polymorph listed for this composition	49	kJ/mol of formula units

---

(6)
Entry from OQMD via LeMat-Bulk: an optimized crystal structure of PrSnAsIrPd (PBE).

```
data_PrSnAsIrPd
_chemical_formula_sum 'Pr2 Sn2 As2 Ir2 Pd2'
_symmetry_space_group_name_H-M 'P 4/n m m'
_symmetry_Int_Tables_number 129
_cell_length_a 4.459
_cell_length_b 4.459
_cell_length_c 10.386
_cell_angle_alpha 90.00
_cell_angle_beta 90.00
_cell_angle_gamma 90.00
loop_
_symmetry_equiv_pos_as_xyz
'x,y,z'
'-x,-y,-z'
'-y+1/2,x,z'
'y+1/2,-x,-z'
'-x+1/2,-y+1/2,z'
'x+1/2,y+1/2,-z'
'y,-x+1/2,z'
'-y,x+1/2,-z'
'x+1/2,-y,-z'
'-x+1/2,y,z'
'-y,-x,-z'
'y,x,z'
'-x,y+1/2,-z'
'x,-y+1/2,z'
'y+1/2,x+1/2,-z'
'-y+1/2,-x+1/2,z'
loop_
_atom_site_label
_atom_site_type_symbol
_atom_site_fract_x
_atom_site_fract_y
_atom_site_fract_z
Pr1 Pr 0.250 0.250 0.234
Sn1 Sn 0.250 0.750 0.500
As1 As 0.250 0.250 0.872
Ir1 Ir 0.250 0.250 0.642
Pd1 Pd 0.250 0.750 0.000
```

energy relative to the lowest polymorph listed for this composition	8	kJ/mol of formula units

---

(7)
Entry from OQMD via LeMat-Bulk: an optimized crystal structure of SrAs2IrPd (PBE).

```
data_SrAs2IrPd
_chemical_formula_sum 'Sr2 As4 Ir2 Pd2'
_symmetry_space_group_name_H-M 'I -4 m 2'
_symmetry_Int_Tables_number 119
_symmetry_space_group_name_Hall 'I -4 -2'
_cell_length_a 4.298
_cell_length_b 4.298
_cell_length_c 11.221
_cell_angle_alpha 90.00
_cell_angle_beta 90.00
_cell_angle_gamma 90.00
loop_
_atom_site_label
_atom_site_type_symbol
_atom_site_fract_x
_atom_site_fract_y
_atom_site_fract_z
Sr1 Sr 0.000 0.000 0.000
As1 As 0.000 0.000 0.366
Ir1 Ir 0.000 0.500 0.750
Pd1 Pd 0.000 0.500 0.250
```

raw total energy	-0.413	Ry/atom

---

(8)
Entry from OQMD via LeMat-Bulk: an optimized crystal structure of PrAsIr (PBE).

```
data_PrAsIr
_chemical_formula_sum 'Pr4 As4 Ir4'
_symmetry_space_group_name_H-M 'F -4 3 m'
_symmetry_Int_Tables_number 216
_symmetry_space_group_name_Hall 'F -4 2 3'
_cell_length_a 6.550
_cell_length_b 6.550
_cell_length_c 6.550
_cell_angle_alpha 90.00
_cell_angle_beta 90.00
_cell_angle_gamma 90.00
loop_
_atom_site_label
_atom_site_type_symbol
_atom_site_fract_x
_atom_site_fract_y
_atom_site_fract_z
Pr1 Pr 0.000 0.000 0.000
As1 As 0.000 0.000 0.500
Ir1 Ir 0.250 0.250 0.250
```

raw total energy	-0.489	Ry/atom